Density functional theory data (PBE-GGA) for PmZn4Cu6 after structural relaxation.

Summary:
Its energy of formation from the pure elements is -0.0948 eV per atom. The calculation puts the total magnetic moment at 0.0 Bohr magnetons per cell.

a = 3.9992 Å, b = 6.9520 Å, c = 6.9520 Å
α = 120.00°, β = 90.00°, γ = 90.00°
Sites, in units of the cell vectors:
Pm 0.0000 0.0000 0.0000
Zn 0.5000 0.7991 0.5982
Zn 0.5000 0.4018 0.2009
Zn 0.5000 0.7991 0.2009
Zn 0.0000 0.3333 0.6667
Cu 0.0000 0.5376 0.0752
Cu 0.5000 0.5839 0.7919
Cu 0.0000 0.5376 0.4624
Cu 0.0000 0.9248 0.4624
Cu 0.5000 0.2081 0.7919
Cu 0.5000 0.2081 0.4161



Density functional theory data (PBE-GGA) for Sc6Sn2BiTe3 after structural relaxation.

Summary:
The calculation puts the total magnetic moment at 0.0 Bohr magnetons per cell. For the formation energy (no corrections), the calculation gives -0.8882 eV/atom.

a = 4.1817 Å, b = 8.3999 Å, c = 9.3655 Å
α = 103.11°, β = 102.90°, γ = 90.00°
Sites, in units of the cell vectors:
Sc 0.3324 0.9048 0.6648
Sc 0.6692 0.5778 0.3384
Sc 0.6676 0.0952 0.3352
Sc 0.0050 0.2522 0.0100
Sc 0.9950 0.7478 0.9900
Sc 0.3308 0.4222 0.6616
Sn 0.8326 0.6650 0.6651
Sn 0.1674 0.3350 0.3349
Bi 0.5000 0.0000 0.0000
Te 0.5000 0.5000 0.0000
Te 0.8352 0.1656 0.6704
Te 0.1648 0.8344 0.3296



Density functional theory data (PBE-GGA) for Cs3La3ZrSe8 after structural relaxation.

Summary:
The calculation puts the total magnetic moment at 0.0 Bohr magnetons per cell. For the formation energy (no corrections), the calculation gives -1.7158 eV/atom.

a = 8.6942 Å, b = 8.6957 Å, c = 9.9061 Å
α = 116.07°, β = 90.00°, γ = 119.99°
Sites, in units of the cell vectors:
Cs 0.0000 0.0000 0.0000
Cs 0.0000 0.5000 0.0000
Cs 0.5000 0.5000 0.0000
La 0.5000 0.0000 0.5000
La 0.5000 0.5000 0.5000
La 0.0000 0.5000 0.5000
Zr 0.0000 0.0000 0.5000
Se 0.2692 0.5383 0.3076
Se 0.7308 0.4617 0.6924
Se 0.7872 0.5744 0.3203
Se 0.2128 0.4256 0.6797
Se 0.7872 0.0328 0.3202
Se 0.2128 0.9672 0.6798
Se 0.2456 0.0328 0.3202
Se 0.7544 0.9672 0.6798



Density functional theory data (PBE-GGA) for Hg3ClF5 after structural relaxation.

Summary:
The calculation puts the total magnetic moment at 0.0 Bohr magnetons per cell. For the formation energy (no corrections), the calculation gives -1.2605 eV/atom.

a = 6.7344 Å, b = 6.7344 Å, c = 8.8021 Å
α = 71.40°, β = 71.40°, γ = 68.82°
Sites, in units of the cell vectors:
Hg 0.6690 0.6690 0.8302
Hg 0.6398 0.6398 0.3044
Hg 0.0000 0.0000 0.0000
Hg 0.0000 0.0000 0.5000
Hg 0.3310 0.3310 0.1698
Hg 0.3602 0.3602 0.6956
Cl 0.1241 0.1241 0.6969
Cl 0.8759 0.8759 0.3031
F 0.9699 0.3481 0.3228
F 0.3179 0.6821 0.0000
F 0.7668 0.7668 0.0254
F 0.4253 0.4253 0.3797
F 0.5747 0.5747 0.6203
F 0.2332 0.2332 0.9746
F 0.3481 0.9699 0.3228
F 0.6821 0.3179 0.0000
F 0.0301 0.6519 0.6772
F 0.6519 0.0301 0.6772



Density functional theory data (PBE-GGA) for CsTl2ZnF6 after structural relaxation.

Summary:
The calculation puts the total magnetic moment at 0.0 Bohr magnetons per cell. For the formation energy (no corrections), the calculation gives -2.0848 eV/atom.

a = 6.0559 Å, b = 7.0369 Å, c = 8.9619 Å
α = 90.00°, β = 89.98°, γ = 90.00°
Sites, in units of the cell vectors:
Cs 0.5000 0.0000 0.0000
Cs 0.0000 0.5000 0.5000
Tl 0.0001 0.9995 0.2742
Tl 0.5001 0.5005 0.7742
Tl 0.9999 0.0005 0.7258
Tl 0.4999 0.4995 0.2258
Zn 0.5000 0.0000 0.5000
Zn 0.0000 0.5000 0.0000
F 0.3005 0.6332 0.0002
F 0.8005 0.8668 0.5002
F 0.6995 0.3668 0.9998
F 0.1995 0.1332 0.4998
F 0.3599 0.8232 0.3344
F 0.8599 0.6768 0.8344
F 0.6401 0.1768 0.6656
F 0.1401 0.3232 0.1656
F 0.8601 0.6754 0.1666
F 0.3601 0.8246 0.6666
F 0.1399 0.3246 0.8334
F 0.6399 0.1754 0.3334



Density functional theory data (PBE-GGA) for La2TbY6 after structural relaxation.

Summary:
Its energy of formation from the pure elements is 0.1083 eV per atom. The calculation puts the total magnetic moment at 0.0 Bohr magnetons per cell.

a = 6.6301 Å, b = 9.6948 Å, c = 9.6948 Å
α = 95.96°, β = 81.59°, γ = 81.59°
Sites, in units of the cell vectors:
La 0.1231 0.6127 0.6682
La 0.3769 0.3318 0.3873
La 0.8769 0.3873 0.3318
La 0.6231 0.6682 0.6127
Tb 0.2500 0.1161 0.8839
Tb 0.7500 0.8839 0.1161
Y 0.5022 0.6572 0.2745
Y 0.9978 0.7255 0.3428
Y 0.4978 0.3428 0.7255
Y 0.0022 0.2745 0.6572
Y 0.7322 0.0569 0.4576
Y 0.7678 0.5424 0.9431
Y 0.2678 0.9431 0.5424
Y 0.2322 0.4576 0.0569
Y 0.3105 0.7793 0.9551
Y 0.1895 0.0449 0.2207
Y 0.6895 0.2207 0.0449
Y 0.8105 0.9551 0.7793



Density functional theory data (PBE-GGA) for HfPa5Pt6 after structural relaxation.

Summary:
Its energy of formation from the pure elements is -0.8629 eV per atom. The calculation puts the total magnetic moment at 0.0 Bohr magnetons per cell.

a = 4.6775 Å, b = 7.1935 Å, c = 8.5306 Å
α = 65.08°, β = 74.22°, γ = 90.00°
Sites, in units of the cell vectors:
Pa 0.7001 0.1987 0.6023
Pa 0.3456 0.3459 0.3084
Pa 0.0000 0.5000 0.0000
Pa 0.6544 0.6541 0.6916
Pa 0.2999 0.8013 0.3977
Hf 0.0000 0.0000 0.0000
Pt 0.8478 0.6339 0.3008
Pt 0.8478 0.0654 0.3008
Pt 0.4999 0.7845 0.0002
Pt 0.5001 0.2155 0.9998
Pt 0.1522 0.9346 0.6992
Pt 0.1522 0.3661 0.6992



Density functional theory data (PBE-GGA) for K2BeAgP2 after structural relaxation.

Summary:
Its energy of formation from the pure elements is -0.2143 eV per atom. The calculation puts the total magnetic moment at 0.0 Bohr magnetons per cell.

a = 6.1290 Å, b = 5.8720 Å, c = 8.6413 Å
α = 109.86°, β = 110.77°, γ = 90.00°
Sites, in units of the cell vectors:
K 0.4087 0.1709 0.3418
K 0.5913 0.8291 0.6582
K 0.0668 0.3291 0.6582
K 0.9332 0.6709 0.3418
Be 0.5000 0.7500 0.0000
Be 0.5000 0.2500 0.0000
Ag 0.0000 0.7500 0.0000
Ag 0.0000 0.2500 0.0000
P 0.7875 0.0829 0.1658
P 0.3783 0.5829 0.1658
P 0.6217 0.4171 0.8342
P 0.2125 0.9171 0.8342



> Look up the total magnetic moment of the first one.

0.0 Bohr magnetons per cell



> total magnetic moment of number 3 (Cs3La3ZrSe8)?

0.0 Bohr magnetons per cell